<A>
A relaxed Hf2Zr2Sn crystal, computed with PBE.

Cell: 5.711 5.711 8.020 Å, 108.68 108.68 93.91°
Fractional positions:
Hf1 0.117 0.773 0.798
Hf2 0.227 0.883 0.202
Hf3 0.773 0.117 0.798
Hf4 0.883 0.227 0.202
Zr1 0.211 0.211 0.629
Zr2 0.343 0.343 0.082
Zr3 0.657 0.657 0.918
Zr4 0.789 0.789 0.371
Sn1 0.325 0.675 0.500
Sn2 0.675 0.325 0.500

Properties
Volume = 23.0 A^3/atom
DOS at the Fermi energy = 9.70 states/eV per cell

---

<B>
A relaxed Hf2Zr2Sn crystal, computed with PBE.

Cell: 7.570 7.570 4.039 Å, 90.00 90.00 90.00°
Fractional positions:
Hf1 0.134 0.366 0.000
Hf2 0.366 0.866 0.000
Hf3 0.634 0.134 0.000
Hf4 0.866 0.634 0.000
Zr1 0.167 0.667 0.500
Zr2 0.333 0.167 0.500
Zr3 0.667 0.833 0.500
Zr4 0.833 0.333 0.500
Sn1 0.000 0.000 0.000
Sn2 0.500 0.500 0.000

Properties
Volume = 23.1 A^3/atom
DOS at the Fermi energy = 9.02 states/eV per cell

---

<A> is favored, and the nearest alternative lies 22 meV/atom above it.

---

<A>
A relaxed Hf4ZrSn crystal, computed with PBE.

Cell: 4.756 4.756 6.825 Å, 90.00 90.00 90.00°
Fractional positions:
Hf1 0.000 0.500 0.235
Hf2 0.000 0.500 0.765
Hf3 0.500 0.000 0.235
Hf4 0.500 0.000 0.765
Zr1 0.000 0.000 0.000
Sn1 0.500 0.500 0.500

Properties
Volume = 25.7 A^3/atom
DOS at the Fermi energy = 5.16 states/eV per cell

---

<B>
A relaxed Hf4ZrSn crystal, computed with PBE.

Cell: 5.452 5.452 5.487 Å, 99.90 99.90 119.46°
Fractional positions:
Hf1 0.161 0.839 0.000
Hf2 0.332 0.668 0.500
Hf3 0.668 0.332 0.500
Hf4 0.839 0.161 0.000
Zr1 0.500 0.500 0.000
Sn1 0.000 0.000 0.500

Properties
Volume = 22.2 A^3/atom
DOS at the Fermi energy = 7.22 states/eV per cell

---

<B> is favored, and the nearest alternative lies 598 meV/atom above it.

---

<A>
A relaxed HfZr2Sn2 crystal, computed with PBE.

Cell: 8.341 8.341 5.906 Å, 90.00 90.00 145.87°
Fractional positions:
Hf1 0.106 0.894 0.750
Hf2 0.894 0.106 0.250
Zr1 0.310 0.690 0.750
Zr2 0.500 0.500 0.000
Zr3 0.500 0.500 0.500
Zr4 0.690 0.310 0.250
Sn1 0.079 0.921 0.250
Sn2 0.306 0.694 0.250
Sn3 0.694 0.306 0.750
Sn4 0.921 0.079 0.750

Properties
Volume = 23.1 A^3/atom
DOS at the Fermi energy = 7.05 states/eV per cell

---

<B>
A relaxed HfZr2Sn2 crystal, computed with PBE.

Cell: 8.535 8.535 3.205 Å, 90.00 90.00 90.00°
Fractional positions:
Hf1 0.000 0.000 0.000
Hf2 0.500 0.500 0.000
Zr1 0.124 0.376 0.000
Zr2 0.376 0.876 0.000
Zr3 0.624 0.124 0.000
Zr4 0.876 0.624 0.000
Sn1 0.174 0.674 0.500
Sn2 0.326 0.174 0.500
Sn3 0.674 0.826 0.500
Sn4 0.826 0.326 0.500

Properties
Volume = 23.3 A^3/atom
DOS at the Fermi energy = 10.64 states/eV per cell

---

<C>
A relaxed HfZr2Sn2 crystal, computed with PBE.

Cell: 7.646 7.646 3.887 Å, 90.00 90.00 90.00°
Fractional positions:
Hf1 0.000 0.000 0.000
Hf2 0.500 0.500 0.000
Zr1 0.167 0.333 0.500
Zr2 0.333 0.833 0.500
Zr3 0.667 0.167 0.500
Zr4 0.833 0.667 0.500
Sn1 0.136 0.636 0.000
Sn2 0.364 0.136 0.000
Sn3 0.636 0.864 0.000
Sn4 0.864 0.364 0.000

Properties
Volume = 22.7 A^3/atom
DOS at the Fermi energy = 9.12 states/eV per cell

---

<C> is favored, and the nearest alternative lies 80 meV/atom above it.

---

<A>
A relaxed Hf2ZrSn2 crystal, computed with PBE.

Cell: 5.462 5.751 7.984 Å, 103.79 107.11 101.08°
Fractional positions:
Hf1 0.057 0.107 0.349
Hf2 0.233 0.491 0.749
Hf3 0.767 0.509 0.251
Hf4 0.943 0.893 0.651
Zr1 0.432 0.882 0.150
Zr2 0.568 0.118 0.850
Sn1 0.175 0.285 0.045
Sn2 0.341 0.714 0.467
Sn3 0.659 0.286 0.533
Sn4 0.825 0.715 0.955

Properties
Volume = 22.3 A^3/atom
DOS at the Fermi energy = 7.84 states/eV per cell

---

<B>
A relaxed Hf2ZrSn2 crystal, computed with PBE.

Cell: 7.648 7.648 3.852 Å, 90.00 90.00 90.00°
Fractional positions:
Hf1 0.167 0.333 0.000
Hf2 0.333 0.833 0.000
Hf3 0.667 0.167 0.000
Hf4 0.833 0.667 0.000
Zr1 0.000 0.000 0.500
Zr2 0.500 0.500 0.500
Sn1 0.135 0.635 0.500
Sn2 0.365 0.135 0.500
Sn3 0.635 0.865 0.500
Sn4 0.865 0.365 0.500

Properties
Volume = 22.5 A^3/atom
DOS at the Fermi energy = 8.98 states/eV per cell

---

<B> is favored, and the nearest alternative lies 9 meV/atom above it.